# Li2FeGeO4 | Alexandria via LeMat-Bulk | PBE+U | optimized geometry
# distance to the lowest polymorph of the same formula	15	meV per atom
# total magnetic moment	8.00	μB per cell
# crystal system	tetragonal
# V	183	Å³/cell
data_Li2FeGeO4
_symmetry_space_group_name_H-M 'I -4 2 m'
_symmetry_Int_Tables_number 121
_symmetry_space_group_name_Hall 'I -4 2'
_cell_length_a 4.578
_cell_length_b 4.578
_cell_length_c 8.733
_cell_angle_alpha 90.00
_cell_angle_beta 90.00
_cell_angle_gamma 90.00
loop_
_atom_site_label
_atom_site_type_symbol
_atom_site_fract_x
_atom_site_fract_y
_atom_site_fract_z
_atom_site_occupancy
Li1 Li 0.000 0.500 0.250 1
Fe1 Fe 0.000 0.000 0.000 1
Ge1 Ge 0.000 0.000 0.500 1
O1 O 0.226 0.226 0.383 1